(1)
DFT (PBEsol) results for a relaxed structure of KSrMn.

- Fermi-level density of states (states/eV per cell) = 3.40
- energy (eV per cell) = -10.0

POSCAR file:
```
KSrMn
1.0
5.814 0.000 0.000
-2.907 5.035 0.000
0.000 0.000 3.778
K Sr Mn
1 1 1
direct
0.000 0.000 0.000 K
0.667 0.333 0.376 Sr
0.333 0.667 0.735 Mn
```

=====

(2)
DFT (PBEsol) results for a relaxed structure of KSrMn2.

- Fermi-level density of states (states/eV per cell) = 4.92
- energy (eV per cell) = -18.3
- energy relative to the lowest polymorph listed for this composition (eV/atom) = 0.185

POSCAR file:
```
KSrMn2
1.0
3.721 0.000 0.000
0.000 4.552 0.000
0.000 0.000 7.859
K Sr Mn
1 1 2
direct
0.000 0.000 0.000 K
0.000 0.000 0.500 Sr
0.500 0.500 0.332 Mn
0.500 0.500 0.668 Mn
```

=====

| no. | E_form (eV/f.u.) |
| --- | --- |
| 1 | 2.78 |
| 2 | 4.19 |